No. 1
VASP calculation (meta-GGA SCAN) on a PBEsol-optimized structure of Li3BiRh.

```
Li3BiRh
1.0
4.527 0.000 0.000
0.000 4.527 0.000
0.000 0.000 4.527
Li Bi Rh
3 1 1
Direct
0.000 0.000 0.500
0.000 0.500 0.000
0.500 0.000 0.000
0.500 0.500 0.500
0.000 0.000 0.000
```

Space-group type: Pm-3m, No. 221
ΔH_f (0 K): 0.16 eV/atom

=====

No. 2
VASP calculation (meta-GGA SCAN) on a PBEsol-optimized structure of Li2Bi2Ru.

```
Li2Bi2Ru
1.0
7.008 0.000 0.000
0.000 7.008 0.000
0.000 0.000 4.300
Li Bi Ru
4 4 2
Direct
0.160 0.340 0.000
0.340 0.840 0.000
0.660 0.160 0.000
0.840 0.660 0.000
0.152 0.652 0.500
0.348 0.152 0.500
0.652 0.848 0.500
0.848 0.348 0.500
0.000 0.000 0.500
0.500 0.500 0.500
```

Space-group type: P4/mbm, No. 127
ΔH_f (0 K): -0.06 eV/atom

=====

No. 3
VASP calculation (meta-GGA SCAN) on a PBEsol-optimized structure of LiBiRu2.

```
LiBiRu2
1.0
-1.957 1.957 9.044
1.957 -1.957 9.044
1.957 1.957 -9.044
Li Bi Ru
2 2 4
Direct
0.000 0.000 0.000
0.750 0.250 0.500
0.250 0.750 0.500
0.500 0.500 0.000
0.049 0.625 0.924
0.375 0.299 0.424
0.701 0.125 0.076
0.875 0.951 0.576
```

Space-group type: I-42d, No. 122
ΔH_f (0 K): 0.48 eV/atom

=====

No. 4
VASP calculation (meta-GGA SCAN) on a PBEsol-optimized structure of LiBi2S.

```
LiBi2S
1.0
-2.229 2.229 10.477
2.229 -2.229 10.477
2.229 2.229 -10.477
Li Bi S
2 4 2
Direct
0.000 0.000 0.000
0.750 0.250 0.500
0.147 0.625 0.022
0.375 0.397 0.522
0.603 0.125 0.978
0.875 0.853 0.478
0.250 0.750 0.500
0.500 0.500 0.000
```

Space-group type: I-42d, No. 122
E_form (uncorrected): -0.140 eV per atom

=====

No. 5
VASP calculation (meta-GGA SCAN) on a PBEsol-optimized structure of Li3BiS4.

```
Li3BiS4
1.0
7.024 0.000 0.000
0.000 10.101 0.000
0.000 0.000 9.366
Li Bi S
12 4 16
Direct
0.203 0.250 0.095
0.221 0.584 0.282
0.221 0.916 0.282
0.279 0.084 0.782
0.279 0.416 0.782
0.297 0.750 0.595
0.703 0.250 0.405
0.721 0.584 0.218
0.721 0.916 0.218
0.779 0.084 0.718
0.779 0.416 0.718
0.797 0.750 0.905
0.242 0.750 0.979
0.258 0.250 0.479
0.742 0.750 0.521
0.758 0.250 0.021
0.004 0.750 0.703
0.038 0.250 0.703
0.144 0.019 0.020
0.144 0.481 0.020
0.356 0.519 0.520
0.356 0.981 0.520
0.462 0.750 0.203
0.496 0.250 0.203
0.504 0.750 0.797
0.538 0.250 0.797
0.644 0.019 0.480
0.644 0.481 0.480
0.856 0.519 0.980
0.856 0.981 0.980
0.962 0.750 0.297
0.996 0.250 0.297
```

Space-group type: Pnma, No. 62
E_form (uncorrected): -0.851 eV per atom

=====

No. 6
VASP calculation (meta-GGA SCAN) on a PBEsol-optimized structure of Li3BiS.

```
Li3BiS
1.0
4.610 0.000 0.000
0.000 4.610 0.000
0.000 0.000 4.610
Li Bi S
3 1 1
Direct
0.000 0.000 0.500
0.000 0.500 0.000
0.500 0.000 0.000
0.500 0.500 0.500
0.000 0.000 0.000
```

Space-group type: Pm-3m, No. 221
Energy above the most stable polymorph in this dataset: 0 meV/atom
E_form (uncorrected): -0.721 eV per atom

=====

No. 7
VASP calculation (meta-GGA SCAN) on a PBEsol-optimized structure of Li3BiS.

```
Li3BiS
1.0
5.151 0.000 0.000
0.000 5.151 0.000
0.000 0.000 5.151
Li Bi S
3 1 1
Direct
0.000 0.000 0.500
0.000 0.500 0.000
0.500 0.000 0.000
0.000 0.000 0.000
0.500 0.500 0.500
```

Space-group type: Pm-3m, No. 221
Energy above the most stable polymorph in this dataset: 759 meV/atom
E_form (uncorrected): 0.038 eV per atom

=====

No. 8
VASP calculation (meta-GGA SCAN) on a PBEsol-optimized structure of Li2BiS2.

```
Li2BiS2
1.0
-1.956 1.986 6.699
1.956 -1.986 6.699
1.956 1.986 -6.699
Li Bi S
2 1 2
Direct
0.244 0.244 0.000
0.756 0.756 0.000
0.500 0.500 0.000
0.147 0.647 0.500
0.853 0.353 0.500
```

Space-group type: Immm, No. 71
E_form (uncorrected): -0.896 eV per atom